SrFe2Ni (PBE-GGA, optimized geometry); spin magnetization = 5.3 μB/cell; uncorrected energy = -21.5 eV/f.u.; ΔE_f = 0.7197 eV per atom; space group = I-4m2, No. 119
1.0
-2.2860 2.2860 3.2058
2.2860 -2.2860 3.2058
2.2860 2.2860 -3.2058
Sr Fe Ni
1 2 1
direct
0.0000 0.0000 0.0000
0.2500 0.7500 0.5000
0.5000 0.5000 0.0000
0.7500 0.2500 0.5000

---

Li2Y2NpS6 (PBE-GGA, optimized geometry); formation energy without anion corrections = -1.66 eV per atom; spin magnetization = 3.0 μB/cell; uncorrected energy = -72.7 eV/f.u.; space group = C2/m, No. 12
1.0
3.4280 -5.9219 0.0000
3.4280 5.9219 0.0000
-2.2250 0.0000 6.1513
Li Y Np S
2 2 1 6
direct
0.1675 0.8325 0.0000
0.8325 0.1675 0.0000
0.3347 0.6653 0.5000
0.6653 0.3347 0.5000
0.0000 0.0000 0.5000
0.0723 0.4067 0.7436
0.2417 0.2417 0.2562
0.4067 0.0723 0.7436
0.5933 0.9277 0.2564
0.7583 0.7583 0.7438
0.9277 0.5933 0.2564